CsYC4O9 after structural relaxation. Source: the Alexandria database, functional PBE.

## Properties
The formation energy from raw total energies is -22.22 eV per formula unit. As for the crystal system: monoclinic. The uncorrected energy comes out at -222.120 eV per cell. The total magnetization comes out at 0.1309 μB/atom.

CIF file:
```
data_CsYC4O9
_cell_length_a 8.8086
_cell_length_b 6.3372
_cell_length_c 12.4779
_cell_angle_alpha 90.00
_cell_angle_beta 134.87
_cell_angle_gamma 90.00
_space_group_name_H-M_alt 'P 1 2/c 1'
_space_group_IT_number 13
_space_group_name_Hall '-P 2yc'
loop_
_atom_site_label
_atom_site_type_symbol
_atom_site_fract_x
_atom_site_fract_y
_atom_site_fract_z
_atom_site_occupancy
Cs1 Cs 0.0000 0.9996 0.2500 1
Y1 Y 0.5000 0.4837 0.2500 1
C1 C 0.0036 0.3956 0.5352 1
C2 C 0.4334 0.3955 0.4688 1
O1 O 0.1758 0.3193 0.0258 1
O2 O 0.1855 0.3202 0.6476 1
O3 O 0.3751 0.3197 0.3502 1
O4 O 0.3917 0.3196 0.5392 1
O5 O 0.5000 0.0971 0.2500 1
```